NaVAgCl6, relaxed, DFT PBE; SG = P312, No. 149; raw formation energy = -1089 meV per atom; mass density = 2869 kg/m³; N(E_F) = 6.19 states/eV per cell
1.0
-1.2216 -5.8015 0.8398
1.8066 0.5405 6.3621
-6.3072 1.0732 -1.7607
Na V Ag Cl
1 1 1 6
direct
0.0000 0.3333 0.6667
0.5000 0.0000 0.0000
0.5000 0.6667 0.3333
0.7258 0.7149 0.7097
0.7258 0.2903 0.0052
0.7258 0.9948 0.2851
0.2742 0.2903 0.2851
0.2742 0.7149 0.0052
0.2742 0.9948 0.7097